[1]
TmIrO4 after structural relaxation, computed with PBE.

Geometry as POSCAR:
```
TmIrO4
1.0
3.3452 -5.2947 0.0000
3.3452 5.2947 0.0000
-2.9435 0.0000 3.9166
Tm Ir O
2 2 8
Cartesian
1.1376 3.7720 2.9375
2.6093 -3.7720 0.9792
2.6093 0.7486 0.9792
1.1376 -0.7486 2.9375
1.3426 2.1273 1.3994
-0.5925 0.4640 2.9669
0.8792 -0.4640 1.0086
3.8760 2.1273 0.5589
-0.1292 -2.1273 3.3577
2.8676 0.4640 2.9081
4.3394 -0.4640 0.9497
2.4043 -2.1273 2.5172
```

Properties
Its final energy is -87.989 eV per cell.

***

[2]
PmLuAs after structural relaxation, computed with PBE.

Geometry as POSCAR:
```
PmLuAs
1.0
0.0000 3.4194 3.4194
3.4194 0.0000 3.4194
3.4194 3.4194 0.0000
Pm Lu As
1 1 1
Cartesian
0.0000 0.0000 0.0000
3.4194 3.4194 3.4194
5.1292 5.1292 5.1292
```

Properties
Its relative energy among the computed polymorphs is 0.0 meV/atom.

***

[3]
HfBiPO after structural relaxation, computed with PBE.

Geometry as POSCAR:
```
HfBiPO
1.0
3.7026 0.0000 0.0000
0.0000 8.1617 0.0000
0.0000 0.0000 6.1840
Hf Bi P O
2 2 2 2
Cartesian
0.0000 1.1355 0.0000
0.0000 7.0262 3.0920
1.8513 2.5562 3.6092
1.8513 5.6055 0.5172
1.8513 2.8924 0.0857
1.8513 5.2693 3.1777
0.0000 0.2883 1.7287
0.0000 7.8734 4.8208
```

Properties
Its relative energy among the computed polymorphs is 0.0 meV/atom.